Density functional theory data (PBE with a Hubbard U) for Na6MnNi3Sb2O12 after structural relaxation.

POSCAR file:
```
Na6MnNi3Sb2O12
1.0
9.372 0.000 0.000
0.000 5.418 0.005
0.000 1.810 5.421
O Na Sb Ni Mn
12 6 2 3 1
Direct
0.661 0.271 0.203 O
0.999 0.751 0.798 O
0.153 0.770 0.208 O
0.343 0.718 0.791 O
0.999 0.249 0.202 O
0.343 0.282 0.209 O
0.506 0.256 0.794 O
0.840 0.773 0.204 O
0.506 0.744 0.206 O
0.840 0.227 0.796 O
0.153 0.230 0.792 O
0.661 0.729 0.797 O
0.826 0.000 0.500 Na
0.171 0.000 0.500 Na
0.327 0.500 0.500 Na
0.997 0.500 0.500 Na
0.675 0.500 0.500 Na
0.503 0.000 0.500 Na
0.997 0.000 0.000 Sb
0.503 0.500 0.000 Sb
0.668 0.000 0.000 Ni
0.165 0.500 0.000 Ni
0.834 0.500 0.000 Ni
0.334 0.000 0.000 Mn
```

Spin magnetization, μB/f.u.: 1.0
Crystal system: monoclinic
Energy, eV/cell: -128.15